AgPd6Pt3 (PBE, relaxed); E_tot = -4.945 eV per atom; DOS(E_F) = 17.350 states/eV/cell
1.0
4.9239 0.0462 1.1901
0.7002 6.8069 1.1970
-1.3756 0.0462 4.8753
Pd Pt Ag
6 3 1
Direct
0.3130 0.6644 0.9373 Pd
0.3802 0.8832 0.3802 Pd
0.0627 0.3356 0.6870 Pd
0.6870 0.3356 0.0627 Pd
0.9373 0.6644 0.3130 Pd
0.6198 0.1168 0.6198 Pd
0.0000 0.0000 0.0000 Pt
0.7872 0.7286 0.7872 Pt
0.2128 0.2714 0.2128 Pt
0.5000 0.5000 0.5000 Ag